The following is a GGA-PBE calculation of a relaxed HfPIN2 crystal, from the Alexandria database.

Geometry as POSCAR:
```
HfPIN2
1.0
4.116 0.000 0.000
0.000 4.116 0.000
0.000 0.000 6.219
Hf P I N
1 1 1 2
direct
0.000 0.000 0.000
0.500 0.500 0.500
0.000 0.000 0.500
0.000 0.500 0.000
0.500 0.000 0.000
```

energy above the most stable polymorph in this dataset: 0 meV/atom
final energy: -29.8 eV per cell
space-group type: P4/mmm (123)
formation energy (no corrections): 0.743 eV per atom